Record 1
TaCr2Co | GGA-PBE | relaxed

abc: 4.9668 8.2694 2.5964
angles: 90.00 90.00 90.00
Fractional positions:
Ta 0.0000 0.0000 0.0000
Ta 0.5000 0.5000 0.0000
Cr 0.2500 0.2500 0.5000
Cr 0.2500 0.7500 0.5000
Cr 0.7500 0.2500 0.5000
Cr 0.7500 0.7500 0.5000
Co 0.0000 0.5000 0.0000
Co 0.5000 0.0000 0.0000

Computed properties:
energy of formation = 1.43 eV per formula unit
size of the total moment = 0.4 μB/cell
energy above the most stable polymorph in this dataset = 8.05 kcal/mol of atoms

Record 2
Rb2BeSbF6 | GGA-PBE | relaxed

abc: 6.4137 6.4137 6.4137
angles: 123.83 123.83 83.48
Fractional positions:
Rb 0.2500 0.7500 0.5000
Rb 0.7500 0.2500 0.5000
Be 0.0000 0.0000 0.0000
Sb 0.5000 0.5000 0.0000
F 0.1590 0.1590 0.0000
F 0.2438 0.2438 0.4876
F 0.2438 0.7562 0.0000
F 0.7562 0.2438 0.0000
F 0.7562 0.7562 0.5124
F 0.8410 0.8410 0.0000

Computed properties:
size of the total moment = 1.0 μB/cell
raw total energy = -46.01 eV/f.u.

Record 3
LiSe2Cl | GGA-PBE | relaxed

abc: 3.9174 3.9250 11.5886
angles: 90.00 90.00 90.00
Fractional positions:
Li 0.0000 0.0000 0.0000
Li 0.5000 0.5000 0.0000
Se 0.0000 0.5000 0.1732
Se 0.0000 0.5000 0.8268
Se 0.5000 0.0000 0.1732
Se 0.5000 0.0000 0.8268
Cl 0.0000 0.0000 0.5000
Cl 0.5000 0.5000 0.5000

Computed properties:
size of the total moment = 0.0 μB/cell
energy above the most stable polymorph in this dataset = 11.99 kcal/mol of atoms

Record 4
Li2YMoSe | GGA-PBE | relaxed

abc: 4.6266 4.6266 5.5743
angles: 90.00 90.00 90.00
Fractional positions:
Li 0.0000 0.5000 0.0000
Li 0.5000 0.0000 0.0000
Y 0.0000 0.0000 0.5000
Mo 0.5000 0.5000 0.5000
Se 0.0000 0.0000 0.0000

Computed properties:
size of the total moment = 3.6 μB/cell
raw total energy = -23.91 eV/f.u.

Record 5
KScSb2 | GGA-PBE | relaxed

abc: 5.5325 3.3022 6.3271
angles: 90.00 90.35 90.00
Fractional positions:
K 0.0000 0.0000 0.0000
Sc 0.5000 0.5000 0.5000
Sb 0.0000 0.0000 0.5000
Sb 0.5000 0.5000 0.0000

Computed properties:
size of the total moment = 0.0 μB/cell
energy above the most stable polymorph in this dataset = 8.61 kcal/mol of atoms

Record 6
Pm4PrHo7 | GGA-PBE | relaxed

abc: 6.7597 6.7597 12.7498
angles: 114.94 114.94 51.90
Fractional positions:
Pm 0.1346 0.1346 0.2764
Pm 0.2666 0.2666 0.8270
Pm 0.7334 0.7334 0.1730
Pm 0.8654 0.8654 0.7236
Pr 0.5000 0.5000 0.5000
Ho 0.0000 0.0000 0.5000
Ho 0.1325 0.1325 0.9983
Ho 0.2892 0.2892 0.5772
Ho 0.4345 0.4345 0.1786
Ho 0.5655 0.5655 0.8214
Ho 0.7108 0.7108 0.4228
Ho 0.8675 0.8675 0.0017

Computed properties:
energy of formation = 3.09 eV per formula unit
size of the total moment = 0.0 μB/cell
energy above the most stable polymorph in this dataset = 3.99 kcal/mol of atoms

Record 7
ZrUCr | GGA-PBE | relaxed

abc: 13.0715 13.0715 13.0715
angles: 24.39 24.39 24.39
Fractional positions:
Zr 0.0366 0.0366 0.0366
Zr 0.1815 0.1815 0.1815
Zr 0.2733 0.2733 0.2733
Zr 0.7267 0.7267 0.7267
Zr 0.8185 0.8185 0.8185
Zr 0.9634 0.9634 0.9634
U 0.2057 0.7354 0.7354
U 0.2646 0.2646 0.7943
U 0.2646 0.7943 0.2646
U 0.7354 0.2057 0.7354
U 0.7354 0.7354 0.2057
U 0.7943 0.2646 0.2646
Cr 0.0000 0.5000 0.5000
Cr 0.3816 0.3816 0.3816
Cr 0.5000 0.0000 0.5000
Cr 0.5000 0.5000 0.0000
Cr 0.5000 0.5000 0.5000
Cr 0.6184 0.6184 0.6184

Computed properties:
energy of formation = 0.63 eV per formula unit
size of the total moment = 0.3 μB/cell

Record 8
NbCu2Ni2 | GGA-PBE | relaxed

abc: 3.3608 3.3608 11.8687
angles: 90.00 90.00 90.00
Fractional positions:
Nb 0.0000 0.0000 0.0000
Nb 0.5000 0.5000 0.5000
Cu 0.0000 0.5000 0.2500
Cu 0.0000 0.5000 0.7500
Cu 0.5000 0.0000 0.2500
Cu 0.5000 0.0000 0.7500
Ni 0.0000 0.0000 0.4016
Ni 0.0000 0.0000 0.5984
Ni 0.5000 0.5000 0.0984
Ni 0.5000 0.5000 0.9016

Computed properties:
energy of formation = 0.52 eV per formula unit
size of the total moment = 0.0 μB/cell
energy above the most stable polymorph in this dataset = 1.12 kcal/mol of atoms

Record 9
Er3Al3CoGe2 | GGA-PBE | relaxed

abc: 6.8914 6.8914 4.1338
angles: 90.00 90.00 120.00
Fractional positions:
Er 0.0000 0.5977 0.0000
Er 0.4023 0.4023 0.0000
Er 0.5977 0.0000 0.0000
Al 0.0000 0.2272 0.5000
Al 0.2272 0.0000 0.5000
Al 0.7728 0.7728 0.5000
Co 0.0000 0.0000 0.0000
Ge 0.3333 0.6667 0.5000
Ge 0.6667 0.3333 0.5000

Computed properties:
energy of formation = -6.68 eV per formula unit
size of the total moment = 0.0 μB/cell

Record 10
CuAuSe | GGA-PBE | relaxed

abc: 4.8337 4.2521 6.3199
angles: 90.00 106.07 90.00
Fractional positions:
Cu 0.0407 0.2500 0.1666
Cu 0.9593 0.7500 0.8334
Au 0.1565 0.2500 0.6341
Au 0.8435 0.7500 0.3659
Se 0.2962 0.7500 0.2130
Se 0.7038 0.2500 0.7870

Computed properties:
size of the total moment = 0.0 μB/cell
raw total energy = -10.75 eV/f.u.

Record 11
Tb2ZrGe3Pt4 | GGA-PBE | relaxed

abc: 4.1633 4.1633 11.2795
angles: 90.00 90.00 90.00
Fractional positions:
Tb 0.0000 0.5000 0.2243
Tb 0.5000 0.0000 0.7757
Zr 0.0000 0.0000 0.5000
Ge 0.0000 0.5000 0.8663
Ge 0.5000 0.0000 0.1337
Ge 0.5000 0.5000 0.5000
Pt 0.0000 0.0000 0.0000
Pt 0.0000 0.5000 0.6501
Pt 0.5000 0.0000 0.3499
Pt 0.5000 0.5000 0.0000

Computed properties:
energy of formation = -9.44 eV per formula unit
size of the total moment = 0.0 μB/cell

Record 12
Na2Te5Au4 | GGA-PBE | relaxed

abc: 5.5503 7.1957 8.7896
angles: 82.24 83.84 77.79
Fractional positions:
Na 0.0917 0.2306 0.0782
Na 0.9083 0.7694 0.9218
Te 0.0796 0.5687 0.3052
Te 0.3778 0.9431 0.7100
Te 0.5000 0.5000 0.0000
Te 0.6222 0.0569 0.2900
Te 0.9204 0.4313 0.6948
Au 0.2653 0.2475 0.4878
Au 0.4184 0.7859 0.2154
Au 0.5816 0.2141 0.7846
Au 0.7347 0.7525 0.5122

Computed properties:
size of the total moment = 0.0 μB/cell
raw total energy = -34.42 eV/f.u.